No. 1
A plane-wave DFT calculation with PBE was carried out for a relaxed structure of PIrCl2.

a b c (Å): 4.516 4.516 4.516
angles (deg): 60.00 60.00 60.00
Fractional positions:
Cl: 0.750 0.750 0.750
Cl: 0.250 0.250 0.250
P: 0.000 0.000 0.000
Ir: 0.500 0.500 0.500

Values from the calculation:
- formation energy (no corrections) (kcal/mol of atoms) = 27.43
- space group = Fm-3m (225)
- uncorrected energy (eV for the cell shown) = -13.2
- energy above the most stable polymorph in this dataset (meV per atom) = 1852

No. 2
A plane-wave DFT calculation with PBE was carried out for a relaxed structure of OsRh2Au.

a b c (Å): 7.063 7.063 5.689
angles (deg): 51.63 51.63 90.00
Fractional positions:
Rh: 0.159 0.625 0.250
Rh: 0.591 0.125 0.250
Rh: 0.375 0.409 0.750
Rh: 0.875 0.841 0.750
Os: 0.250 0.750 0.500
Os: 0.500 0.500 0.000
Au: 0.750 0.250 0.500
Au: 0.000 0.000 0.000

Values from the calculation:
- space group = I-42d (122)
- uncorrected energy (eV for the cell shown) = -52.9
- energy of formation (eV per formula unit) = 2.78
- energy above the most stable polymorph in this dataset (meV per atom) = 630

No. 3
A plane-wave DFT calculation with PBE was carried out for a relaxed structure of Ge3IrRh.

a b c (Å): 5.539 8.040 8.040
angles (deg): 80.57 89.47 89.47
Fractional positions:
Ge: 0.558 0.935 0.341
Ge: 0.958 0.607 0.623
Ge: 0.441 0.754 0.970
Ge: 0.059 0.030 0.246
Ge: 0.941 0.970 0.754
Ge: 0.458 0.623 0.607
Ge: 0.442 0.065 0.659
Ge: 0.042 0.393 0.377
Ge: 0.058 0.341 0.935
Ge: 0.542 0.377 0.393
Ge: 0.559 0.246 0.030
Ge: 0.942 0.659 0.065
Ir: 0.187 0.870 0.522
Ir: 0.813 0.130 0.478
Ir: 0.313 0.478 0.130
Ir: 0.687 0.522 0.870
Rh: 0.750 0.949 0.051
Rh: 0.250 0.051 0.949
Rh: 0.750 0.655 0.345
Rh: 0.250 0.345 0.655

Values from the calculation:
- space group = C2/c (15)
- uncorrected energy (eV for the cell shown) = -124.9
- energy of formation (eV per formula unit) = -1.17
- energy above the most stable polymorph in this dataset (meV per atom) = 19

No. 4
A plane-wave DFT calculation with PBE was carried out for a relaxed structure of LaSb2Te2.

a b c (Å): 8.370 8.370 4.492
angles (deg): 90.00 90.00 90.00
Fractional positions:
Te: 0.699 0.801 0.500
Te: 0.301 0.199 0.500
Te: 0.801 0.301 0.500
Te: 0.199 0.699 0.500
La: 0.000 0.000 0.000
La: 0.500 0.500 0.000
Sb: 0.371 0.871 0.000
Sb: 0.871 0.629 0.000
Sb: 0.129 0.371 0.000
Sb: 0.629 0.129 0.000

Values from the calculation:
- formation energy (no corrections) (kcal/mol of atoms) = -11.42
- space group = P4/mbm (127)
- uncorrected energy (eV for the cell shown) = -43.9
- energy above the most stable polymorph in this dataset (meV per atom) = 31

- What is the formula in the third record?
  Ge3IrRh

- What is the energy above the most stable polymorph in this dataset in the fourth record?
  31 meV per atom